# KNa2CoO2

Crystalline KNa2CoO2 at its relaxed geometry (PBE+U, Alexandria via LeMat-Bulk).

Geometry as CIF:
```
data_KNa2CoO2
_symmetry_space_group_name_H-M 'P n n m'
_symmetry_Int_Tables_number 58
_symmetry_space_group_name_Hall '-P 2 2n'
_cell_length_a 5.4287
_cell_length_b 9.8316
_cell_length_c 4.0522
_cell_angle_alpha 90.00
_cell_angle_beta 90.00
_cell_angle_gamma 90.00
loop_
_atom_site_label
_atom_site_type_symbol
_atom_site_fract_x
_atom_site_fract_y
_atom_site_fract_z
K1 K 0.0000 0.0000 0.0000
Na1 Na 0.0499 0.2777 0.5000
Co1 Co 0.0000 0.5000 0.0000
O1 O 0.2098 0.3606 0.0000
```

---

# K2NaCoO4

Crystalline K2NaCoO4 at its relaxed geometry (PBE+U, Alexandria via LeMat-Bulk).

Summary:
DOS(E_F): 0.687 states/eV/atom

Geometry as CIF:
```
data_K2NaCoO4
_symmetry_space_group_name_H-M 'I -4 2 m'
_symmetry_Int_Tables_number 121
_symmetry_space_group_name_Hall 'I -4 2'
_cell_length_a 6.5588
_cell_length_b 6.5588
_cell_length_c 6.0974
_cell_angle_alpha 90.00
_cell_angle_beta 90.00
_cell_angle_gamma 90.00
loop_
_atom_site_label
_atom_site_type_symbol
_atom_site_fract_x
_atom_site_fract_y
_atom_site_fract_z
K1 K 0.0000 0.5000 0.0000
Na1 Na 0.0000 0.0000 0.0000
Co1 Co 0.0000 0.0000 0.5000
O1 O 0.1473 0.1473 0.3190
```

---

no.,total magnetic moment (Bohr magnetons per cell),E_tot (eV/atom)
1,4.00,-4.2463
2,8.00,-4.6503